## CdSi2Pd7 (PBE)

Data for a relaxed CdSi2Pd7 crystal.

electronic total energy = -50.4 eV per cell
SG = Cmmm
energy relative to the elements, uncorrected = -0.228 eV/atom

Cell and atoms, written as POSCAR:
```
CdSi2Pd7
1.0
-3.437 2.599 0.888
-3.880 -3.641 -4.359
0.035 -2.183 6.523
Pd Si Cd
7 2 1
Direct
0.500 0.500 0.500
0.000 0.238 0.762
0.500 0.936 0.680
0.000 0.762 0.238
0.500 0.064 0.320
0.500 0.680 0.936
0.500 0.320 0.064
0.500 0.699 0.301
0.500 0.301 0.699
0.000 0.000 0.000
```

## Cs3Pd2S4 (PBE)

Data for a relaxed Cs3Pd2S4 crystal.

electronic total energy = -70.3 eV per cell
SG = C2/c
energy relative to the elements, uncorrected = -0.632 eV/atom

Cell and atoms, written as POSCAR:
```
Cs3Pd2S4
1.0
7.173 0.324 0.232
0.819 9.191 -0.279
0.819 2.697 8.790
S Pd Cs
8 4 6
Direct
0.536 0.076 0.658
0.360 0.650 0.734
0.860 0.734 0.650
0.964 0.342 0.924
0.464 0.924 0.342
0.140 0.266 0.350
0.036 0.658 0.076
0.640 0.350 0.266
0.049 0.589 0.844
0.451 0.156 0.411
0.549 0.844 0.589
0.951 0.411 0.156
0.440 0.271 0.987
0.750 0.418 0.582
0.560 0.729 0.013
0.060 0.013 0.729
0.940 0.987 0.271
0.250 0.582 0.418
```

## Na2TePtO6 (PBE)

Data for a relaxed Na2TePtO6 crystal.

electronic total energy = -50.3 eV per cell
SG = P4mm
energy relative to the elements, uncorrected = -0.873 eV/atom

Cell and atoms, written as POSCAR:
```
Na2TePtO6
1.0
-1.275 -0.244 3.757
1.554 -5.403 0.176
5.096 1.525 1.829
Na O Pt Te
2 6 1 1
Direct
0.093 0.000 0.500
0.093 0.500 0.000
0.676 0.756 0.756
0.676 0.244 0.756
0.141 0.500 0.500
0.676 0.756 0.244
0.676 0.244 0.244
0.145 0.000 0.000
0.637 0.500 0.500
0.636 0.000 0.000
```

## LiSnI2 (PBE)

Data for a relaxed LiSnI2 crystal.

electronic total energy = -11.1 eV per cell
SG = R-3m
energy relative to the elements, uncorrected = -0.526 eV/atom

Cell and atoms, written as POSCAR:
```
LiSnI2
1.0
-2.967 -2.640 -0.987
0.296 -2.225 -3.422
3.571 -8.438 3.348
Sn I Li
1 2 1
Direct
0.000 0.000 0.000
0.107 0.107 0.678
0.893 0.893 0.322
0.500 0.500 0.500
```

## Hg3Ru5 (PBE)

Data for a relaxed Hg3Ru5 crystal.

energy of formation = 693 meV/atom
electronic total energy = -41.7 eV per cell
SG = Cmmm

Cell and atoms, written as POSCAR:
```
Hg3Ru5
1.0
4.037 -4.088 0.000
4.037 4.088 0.000
0.000 0.000 3.980
Ru Hg
5 3
Direct
0.000 0.500 0.000
0.000 0.000 0.000
0.766 0.766 0.500
0.500 0.000 0.000
0.234 0.234 0.500
0.752 0.248 0.500
0.500 0.500 0.000
0.248 0.752 0.500
```

## Li2ZrIn (PBE)

Data for a relaxed Li2ZrIn crystal.

energy of formation = 49 meV/atom
electronic total energy = -14.9 eV per cell
SG = P4/mmm

Cell and atoms, written as POSCAR:
```
Li2ZrIn
1.0
3.016 0.000 0.000
0.000 3.016 0.000
0.000 0.000 8.644
Li Zr In
2 1 1
Direct
0.000 0.000 0.523
0.000 0.000 0.977
0.500 0.500 0.250
0.500 0.500 0.750
```

## KSb2Se (PBE)

Data for a relaxed KSb2Se crystal.

electronic total energy = -13.4 eV per cell
SG = Pmmm
energy relative to the elements, uncorrected = -0.149 eV/atom

Cell and atoms, written as POSCAR:
```
KSb2Se
1.0
6.171 0.000 0.000
0.000 3.121 0.011
0.000 -0.015 6.001
Sb K Se
2 1 1
Direct
0.000 0.249 0.002
0.000 0.251 0.498
0.500 0.750 0.750
0.500 0.250 0.250
```

## InTcMoRu (PBE)

Data for a relaxed InTcMoRu crystal.

energy of formation = 134 meV/atom
electronic total energy = -32.7 eV per cell
SG = F-43m

Cell and atoms, written as POSCAR:
```
InTcMoRu
1.0
-0.958 -2.411 -3.661
3.180 -2.510 -1.929
-0.213 -4.475 0.253
In Mo Tc Ru
1 1 1 1
Direct
0.750 0.750 0.750
0.250 0.250 0.250
0.000 0.000 0.000
0.500 0.500 0.500
```

## GaHgB (PBE)

Data for a relaxed GaHgB crystal.

energy of formation = 291 meV/atom
electronic total energy = -36.5 eV per cell
SG = Pnma

Cell and atoms, written as POSCAR:
```
GaHgB
1.0
-0.044 3.120 -5.756
-3.063 0.524 0.308
2.107 9.338 5.046
Hg Ga B
4 4 4
Direct
0.367 0.250 0.114
0.633 0.750 0.886
0.867 0.250 0.386
0.133 0.750 0.614
0.208 0.750 0.863
0.708 0.750 0.637
0.292 0.250 0.363
0.792 0.250 0.137
0.455 0.750 0.493
0.045 0.250 0.993
0.955 0.750 0.007
0.545 0.250 0.507
```

## Pr2Zn4Rh5 (PBE)

Data for a relaxed Pr2Zn4Rh5 crystal.

energy of formation = -449 meV/atom
electronic total energy = -56.3 eV per cell
SG = Fmmm

Cell and atoms, written as POSCAR:
```
Pr2Zn4Rh5
1.0
-3.106 -4.615 -1.322
2.102 -5.026 0.245
-3.802 -2.891 6.662
Zn Rh Pr
4 5 2
Direct
0.527 0.685 0.261
0.212 0.315 0.261
0.788 0.685 0.739
0.473 0.315 0.739
0.750 0.500 0.500
0.500 0.000 0.000
0.250 0.500 0.500
0.000 0.500 0.000
0.500 0.500 0.000
0.869 0.000 0.262
0.131 0.000 0.738
```

## AlIn2W (PBE)

Data for a relaxed AlIn2W crystal.

energy of formation = 502 meV/atom
electronic total energy = -20.2 eV per cell
SG = P4/mmm

Cell and atoms, written as POSCAR:
```
AlIn2W
1.0
-2.285 -1.454 1.164
1.635 -2.448 0.151
2.743 2.347 8.321
Al In W
1 2 1
Direct
0.500 0.500 0.750
0.000 0.000 0.490
0.000 0.000 0.010
0.500 0.500 0.250
```

## K2CaAl (PBE)

Data for a relaxed K2CaAl crystal.

energy of formation = 299 meV/atom
electronic total energy = -6.7 eV per cell
SG = P4/mmm

Cell and atoms, written as POSCAR:
```
K2CaAl
1.0
-1.393 0.233 -6.295
3.758 -3.099 -0.947
-3.058 -3.871 0.533
K Ca Al
2 1 1
Direct
0.000 0.500 0.500
0.000 0.000 0.000
0.500 0.000 0.500
0.500 0.500 0.000
```

## BaNaSmSeO6 (PBE)

Data for a relaxed BaNaSmSeO6 crystal.

electronic total energy = -60.9 eV per cell
SG = F-43m
energy relative to the elements, uncorrected = -1.966 eV/atom

Cell and atoms, written as POSCAR:
```
BaNaSmSeO6
1.0
2.092 3.274 4.344
-3.649 2.390 3.865
-0.151 -1.984 5.478
Na O Se Sm Ba
1 6 1 1 1
Direct
0.250 0.250 0.250
0.777 0.223 0.223
0.777 0.223 0.777
0.223 0.777 0.777
0.777 0.777 0.223
0.223 0.777 0.223
0.223 0.223 0.777
0.000 0.000 0.000
0.500 0.500 0.500
0.750 0.750 0.750
```

## K2Li2TmO4 (PBE)

Data for a relaxed K2Li2TmO4 crystal.

electronic total energy = -48.3 eV per cell
SG = C2/m
energy relative to the elements, uncorrected = -1.998 eV/atom

Cell and atoms, written as POSCAR:
```
K2Li2TmO4
1.0
-3.228 -0.275 1.145
-0.766 -5.299 -3.431
3.758 -1.275 5.132
O K Li Tm
4 2 2 1
Direct
0.807 0.860 0.614
0.193 0.140 0.386
0.521 0.786 0.041
0.479 0.214 0.959
0.137 0.562 0.275
0.863 0.438 0.725
0.682 0.987 0.364
0.318 0.013 0.636
0.000 0.000 0.000
```

## RbGeIrPt2 (PBE)

Data for a relaxed RbGeIrPt2 crystal.

energy of formation = 1259 meV/atom
electronic total energy = -20.2 eV per cell
SG = P4/mmm

Cell and atoms, written as POSCAR:
```
RbGeIrPt2
1.0
-4.039 2.117 -1.039
-0.283 -2.896 -4.803
-2.347 -3.402 2.189
Rb Ir Ge Pt
1 1 1 2
Direct
0.000 0.500 0.000
0.500 0.500 0.500
0.000 0.000 0.000
0.500 0.000 0.000
0.000 0.000 0.500
```

## Y3Sb (PBE)

Data for a relaxed Y3Sb crystal.

electronic total energy = -103.7 eV per cell
SG = I-4
energy relative to the elements, uncorrected = -0.601 eV/atom

Cell and atoms, written as POSCAR:
```
Y3Sb
1.0
6.130 0.000 0.000
3.065 8.840 0.000
3.065 0.000 8.840
Sb Y
4 12
Direct
0.070 0.255 0.654
0.979 0.745 0.346
0.276 0.654 0.745
0.675 0.346 0.255
0.966 0.959 0.608
0.365 0.972 0.811
0.824 0.811 0.028
0.554 0.325 0.607
0.147 0.028 0.189
0.663 0.189 0.972
0.425 0.608 0.041
0.533 0.041 0.392
0.839 0.607 0.675
0.486 0.675 0.393
0.121 0.393 0.325
0.075 0.392 0.959
```

## CaNpFeN3 (PBE)

Data for a relaxed CaNpFeN3 crystal.

electronic total energy = -106.2 eV per cell
SG = P2_1/m
energy relative to the elements, uncorrected = -0.783 eV/atom

Cell and atoms, written as POSCAR:
```
CaNpFeN3
1.0
-2.402 -1.051 -2.170
4.908 -2.247 -4.344
-0.827 -6.382 4.006
Np Ca Fe N
2 2 2 6
Direct
0.250 0.648 0.171
0.750 0.352 0.829
0.750 0.841 0.823
0.250 0.159 0.177
0.250 0.066 0.600
0.750 0.934 0.400
0.250 0.136 0.852
0.750 0.864 0.148
0.750 0.425 0.131
0.250 0.575 0.869
0.750 0.166 0.549
0.250 0.834 0.451
```

## Tm2Al4ZnAg3 (PBE)

Data for a relaxed Tm2Al4ZnAg3 crystal.

energy of formation = -282 meV/atom
electronic total energy = -36.6 eV per cell
SG = P-4m2

Cell and atoms, written as POSCAR:
```
Tm2Al4ZnAg3
1.0
4.182 0.000 0.000
0.000 4.182 0.000
0.000 0.000 11.143
Zn Al Ag Tm
1 4 3 2
Direct
0.500 0.500 0.500
0.000 0.000 0.000
0.000 0.500 0.364
0.500 0.500 0.000
0.500 0.000 0.636
0.500 0.000 0.859
0.000 0.500 0.141
0.000 0.000 0.500
0.500 0.000 0.254
0.000 0.500 0.746
```

## PHOsO (PBE)

Data for a relaxed PHOsO crystal.

electronic total energy = -53.7 eV per cell
SG = Cm

Cell and atoms, written as POSCAR:
```
PHOsO
1.0
-0.553 0.583 4.994
-1.025 -3.475 0.293
5.467 -1.755 -1.688
H O Os P
2 2 2 2
Direct
0.872 0.500 0.663
0.872 0.000 0.163
0.081 0.500 0.384
0.081 0.000 0.884
0.525 0.500 0.534
0.525 0.000 0.034
0.742 0.000 0.770
0.742 0.500 0.270
```

## MgNiSCl2 (PBE)

Data for a relaxed MgNiSCl2 crystal.

electronic total energy = -15.8 eV per cell
SG = P4/mmm
energy relative to the elements, uncorrected = -0.130 eV/atom

Cell and atoms, written as POSCAR:
```
MgNiSCl2
1.0
-3.734 -2.870 -0.043
2.870 -3.734 0.008
-0.042 -0.022 5.129
Mg S Cl Ni
1 1 2 1
Direct
0.000 0.000 0.000
0.000 0.000 0.500
0.000 0.500 0.000
0.500 0.000 0.000
0.500 0.500 0.500
```